Entry 1:
NaHg4Pd5 after structural relaxation, computed with PBE.

Lattice parameters (Å, degrees): 3.0708 3.8408 15.3844 90.00 90.00 90.00
Space group Pmmm (No. 47)
Unique sites:
Na 0.0000 0.0000 0.0000 x1
Hg 0.0000 0.0000 0.1979 x2
Hg 0.0000 0.0000 0.3998 x2
Pd 0.5000 0.5000 0.1061 x2
Pd 0.5000 0.5000 0.3010 x2
Pd 0.5000 0.5000 0.5000 x1

Values from the calculation:
- Offset from the most stable computed form: 0 meV per atom
- M_tot: 0.00 Bohr magnetons per cell
- Energy of formation: -0.15 eV per atom
- N(E_F): 3.41 states/eV per cell

=====

Entry 2:
Li5Ca4Hg6 after structural relaxation, computed with PBE.

Lattice parameters (Å, degrees): 4.3675 22.2722 15.5246 90.00 90.00 90.00
Space group Cmc2_1 (No. 36)
Unique sites:
Li 0.0000 0.0452 0.0000 x4
Li 0.0000 0.1494 0.3117 x4
Li 0.0000 0.1750 0.6051 x4
Li 0.0000 0.1857 0.9424 x4
Li 0.0000 0.3277 0.9619 x4
Ca 0.0000 0.3192 0.2717 x4
Ca 0.0000 0.3558 0.6244 x4
Ca 0.0000 0.4547 0.1160 x4
Ca 0.0000 0.4698 0.8426 x4
Hg 0.0000 0.0515 0.1885 x4
Hg 0.0000 0.0771 0.7734 x4
Hg 0.0000 0.0857 0.4736 x4
Hg 0.0000 0.2462 0.1012 x4
Hg 0.0000 0.2780 0.7971 x4
Hg 0.0000 0.4006 0.4325 x4

Values from the calculation:
- M_tot: 0.00 Bohr magnetons per cell
- Energy of formation: -0.36 eV per atom
- N(E_F): 30.74 states/eV per cell

=====

Entry 3:
PrNdCd5 after structural relaxation, computed with PBE.

Lattice parameters (Å, degrees): 5.2757 5.2757 7.0224 90.00 90.00 90.00
Space group P4/mmm (No. 123)
Unique sites:
Pr 0.0000 0.0000 0.0000 x1
Nd 0.5000 0.5000 0.5000 x1
Cd 0.0000 0.5000 0.2640 x4
Cd 0.5000 0.5000 0.0000 x1

Values from the calculation:
- M_tot: 0.00 Bohr magnetons per cell
- Energy of formation: -0.14 eV per atom
- N(E_F): 4.05 states/eV per cell

=====

Entry 4:
NaInBr after structural relaxation, computed with PBE.

Lattice parameters (Å, degrees): 3.7817 3.7817 6.5518 90.00 90.18 90.00
Space group Pm (No. 6)
Unique sites:
Na 0.0000 0.0000 0.0000 x1
In 0.4959 0.5000 0.6295 x1
Br 0.5003 0.5000 0.1701 x1

Values from the calculation:
- Offset from the most stable computed form: 159 meV per atom
- M_tot: 0.00 Bohr magnetons per cell
- N(E_F): 1.01 states/eV per cell

=====

Entry 5:
Tl2Cd4Ga after structural relaxation, computed with PBE.

Lattice parameters (Å, degrees): 3.3656 32.9498 3.1627 90.00 90.00 90.00
Space group Cmmm (No. 65)
Unique sites:
Tl 0.0000 0.2031 0.0000 x4
Cd 0.0000 0.0623 0.0000 x4
Cd 0.0000 0.3724 0.5000 x4
Ga 0.0000 0.5000 0.5000 x2

Values from the calculation:
- M_tot: 0.00 Bohr magnetons per cell
- Energy of formation: 0.05 eV per atom
- N(E_F): 7.08 states/eV per cell

=====

Entry 6:
TaHg2Au after structural relaxation, computed with PBE.

Lattice parameters (Å, degrees): 2.9529 4.1524 6.5471 90.00 90.00 90.00
Space group Pmm2 (No. 25)
Unique sites:
Ta 0.0000 0.0000 0.0000 x1
Hg 0.0000 0.0000 0.4704 x1
Hg 0.5000 0.5000 0.7470 x1
Au 0.5000 0.5000 0.2049 x1

Values from the calculation:
- Offset from the most stable computed form: 131 meV per atom
- M_tot: 0.00 Bohr magnetons per cell
- Energy of formation: 0.31 eV per atom
- N(E_F): 2.06 states/eV per cell

=====

Entry 7:
NpGa2Pt after structural relaxation, computed with PBE.

Lattice parameters (Å, degrees): 5.3296 12.2813 5.3987 90.00 117.03 90.00
Space group C2/c (No. 15)
Unique sites:
Np 0.0000 0.1449 0.2500 x4
Ga 0.1753 0.4217 0.1232 x8
Pt 0.0000 0.2589 0.7500 x4

Values from the calculation:
- M_tot: 16.64 Bohr magnetons per cell
- Energy of formation: -0.35 eV per atom
- N(E_F): 38.40 states/eV per cell

=====

Entry 8:
SmEr2TmTl2 after structural relaxation, computed with PBE.

Lattice parameters (Å, degrees): 5.0830 9.9219 6.8242 90.00 90.00 90.00
Space group Pmc2_1 (No. 26)
Unique sites:
Sm 0.0000 0.0433 0.0000 x2
Er 0.0000 0.3164 0.3792 x2
Er 0.5000 0.4553 0.0922 x2
Tm 0.5000 0.1927 0.7174 x2
Tl 0.0000 0.3670 0.8376 x2
Tl 0.5000 0.1349 0.2612 x2

Values from the calculation:
- M_tot: 0.00 Bohr magnetons per cell
- Energy of formation: -0.26 eV per atom
- N(E_F): 11.66 states/eV per cell